DFT (PBE-GGA) results for crystalline NdSmGe2 at its relaxed geometry.

Computed properties:
As for the formation energy from the elements: -0.63 eV per atom. As for the uncorrected energy: -21.2 eV for the cell shown. The density of states at the Fermi level is 0.995 states/eV per atom. For the spin magnetization, the calculation gives 0.000 μB/atom. The value obtained for the energy above the lowest structure with this stoichiometry is 89 kJ/mol of formula units.

Unit cell a=4.841 b=4.841 c=4.146 alpha=90.00 beta=90.00 gamma=90.00
Space group P4/mmm (No. 123)
Unique sites:
Nd1 0.000 0.000 0.000 [1 per cell]
Sm1 0.500 0.500 0.000 [1 per cell]
Ge1 0.000 0.500 0.500 [2 per cell]